The following is a DFT calculation (GGA-PBEsol) of crystalline ScHgCl at its relaxed geometry.

## Properties
Calculated total energy, hartree per atom: -0.139
Crystal system: hexagonal
Energy relative to the elements, uncorrected, eV/atom: -0.728
N(E_F), states/eV/f.u.: 2.60

CIF file:
```
data_ScHgCl
_cell_length_a 4.3921
_cell_length_b 4.3921
_cell_length_c 3.8472
_cell_angle_alpha 90.00
_cell_angle_beta 90.00
_cell_angle_gamma 120.00
_symmetry_space_group_name_H-M 'P -6 m 2'
_symmetry_Int_Tables_number 187
_symmetry_space_group_name_Hall 'P -6 2'
loop_
_atom_site_label
_atom_site_type_symbol
_atom_site_fract_x
_atom_site_fract_y
_atom_site_fract_z
Sc1 Sc 0.0000 0.0000 0.0000
Hg1 Hg 0.6667 0.3333 0.5000
Cl1 Cl 0.3333 0.6667 0.0000
```